No. 1
Compound: ZnSbTe2S
Source: Alexandria via LeMat-Bulk
Functional: SCAN
Structure: PBEsol geometry

E_form (uncorrected) (meV per atom): 753.3
Energy (eV per atom): -26.2279

Cell: 5.066 5.066 5.212 Å, 90.00 90.00 90.00°
Fractional coordinates of all 5 atoms:
Zn1 0.000 0.000 0.000
Sb1 0.000 0.000 0.500
Te1 0.000 0.500 0.000
Te2 0.500 0.000 0.000
S1 0.500 0.500 0.500

No. 2
Compound: LiCuSiBi2
Source: Alexandria via LeMat-Bulk
Functional: SCAN
Structure: PBEsol geometry

E_form (uncorrected) (meV per atom): 414.8
Energy (eV per atom): -36.5381

Cell: 5.525 5.525 4.293 Å, 90.00 90.00 90.00°
Fractional coordinates of all 5 atoms:
Li1 0.000 0.000 0.000
Cu1 0.500 0.500 0.000
Si1 0.500 0.500 0.500
Bi1 0.000 0.500 0.500
Bi2 0.500 0.000 0.500

No. 3
Compound: CuAsP2
Source: Alexandria via LeMat-Bulk
Functional: SCAN
Structure: PBEsol geometry

Energy relative to the elements (meV per atom): 1.6
Energy (eV per atom): -14.0453

Cell: 6.465 6.465 6.465 Å, 131.54 131.54 70.96°
Fractional coordinates of all 8 atoms:
Cu1 0.000 0.000 0.000
Cu2 0.750 0.250 0.500
As1 0.250 0.750 0.500
As2 0.500 0.500 0.000
P1 0.105 0.625 0.980
P2 0.375 0.355 0.480
P3 0.645 0.125 0.020
P4 0.875 0.895 0.520

No. 4
Compound: KMn2Fe
Source: Alexandria via LeMat-Bulk
Functional: SCAN
Structure: PBEsol geometry

Energy relative to the elements (meV per atom): 491.6
Energy (eV per atom): -15.2506

Cell: 2.903 2.903 8.317 Å, 90.00 90.00 90.00°
Fractional coordinates of all 4 atoms:
K1 0.000 0.000 0.000
Mn1 0.500 0.500 0.343
Mn2 0.500 0.500 0.657
Fe1 0.000 0.000 0.500

No. 5
Compound: ScTa2CrP
Source: Alexandria via LeMat-Bulk
Functional: SCAN
Structure: PBEsol geometry

Energy relative to the elements (meV per atom): 847.7
Energy (eV per atom): -34.3897

Cell: 4.441 4.441 4.875 Å, 90.00 90.00 90.00°
Fractional coordinates of all 5 atoms:
Sc1 0.000 0.000 0.000
Ta1 0.000 0.500 0.500
Ta2 0.500 0.000 0.500
Cr1 0.000 0.000 0.500
P1 0.500 0.500 0.000

No. 6
Compound: CsAgI2O
Source: Alexandria via LeMat-Bulk
Functional: SCAN
Structure: PBEsol geometry

E_form (uncorrected) (meV per atom): 370.6
Energy (eV per atom): -29.4078

Cell: 6.808 6.808 4.227 Å, 90.00 90.00 90.00°
Fractional coordinates of all 5 atoms:
Cs1 0.000 0.000 0.000
Ag1 0.500 0.500 0.500
I1 0.000 0.500 0.000
I2 0.500 0.000 0.000
O1 0.000 0.000 0.500

No. 7
Compound: Mn2ZnOs
Source: Alexandria via LeMat-Bulk
Functional: SCAN
Structure: PBEsol geometry

Energy relative to the elements (meV per atom): 63.5
Energy (eV per atom): -30.4128

Cell: 8.503 8.503 8.503 Å, 17.66 17.66 17.66°
Fractional coordinates of all 4 atoms:
Mn1 0.249 0.249 0.249
Mn2 0.751 0.751 0.751
Zn1 0.000 0.000 0.000
Os1 0.500 0.500 0.500

No. 8
Compound: Mg3CrTe
Source: Alexandria via LeMat-Bulk
Functional: SCAN
Structure: PBEsol geometry

E_form (uncorrected) (meV per atom): 515.6
Energy (eV per atom): -13.5958

Cell: 5.171 5.171 5.171 Å, 90.00 90.00 90.00°
Fractional coordinates of all 5 atoms:
Mg1 0.000 0.000 0.500
Mg2 0.000 0.500 0.000
Mg3 0.500 0.000 0.000
Cr1 0.000 0.000 0.000
Te1 0.500 0.500 0.500

No. 9
Compound: Hg2SbRh
Source: Alexandria via LeMat-Bulk
Functional: SCAN
Structure: PBEsol geometry

E_form (uncorrected) (meV per atom): 161.2
Energy (eV per atom): -51.6798

Cell: 3.283 5.314 4.610 Å, 90.00 92.88 90.00°
Fractional coordinates of all 4 atoms:
Hg1 0.245 0.000 0.244
Hg2 0.755 0.000 0.756
Sb1 0.500 0.500 0.500
Rh1 0.000 0.500 0.000

No. 10
Compound: SrCo2Ge2
Source: Alexandria via LeMat-Bulk
Functional: SCAN
Structure: PBEsol geometry

Energy relative to the elements (meV per atom): -397.0
Energy (eV per atom): -19.4088

Cell: 6.050 6.050 6.050 Å, 141.72 141.72 55.25°
Fractional coordinates of all 5 atoms:
Sr1 0.000 0.000 0.000
Co1 0.250 0.750 0.500
Co2 0.750 0.250 0.500
Ge1 0.361 0.361 0.000
Ge2 0.639 0.639 0.000